(1)
# Li2TiZnBi

An optimized crystal structure of Li2TiZnBi (GGA-PBE, Alexandria).

Computed properties:
Calculated formation energy = 68 kJ/mol of atoms
Total moment = 1.86 Bohr magnetons per cell
Volume = 31.7 Å³ per atom

Cell lengths 5.497, 5.497, 5.250 Å; angles 90.00, 90.00, 90.00 degrees
Space group P4/mmm (No. 123)
Inequivalent atoms, fractional coordinates:
Li  0.000  0.500  0.000 x2
Ti  0.000  0.000  0.000 x1
Zn  0.500  0.500  0.500 x1
Bi  0.000  0.000  0.500 x1

(2)
# NdScCo10

An optimized crystal structure of NdScCo10 (GGA-PBE, Alexandria).

Computed properties:
Calculated formation energy = -7 kJ/mol of atoms
Total moment = 14.26 Bohr magnetons per cell
Volume = 13.7 Å³ per atom

Cell lengths 3.971, 4.860, 8.519 Å; angles 90.00, 90.00, 90.00 degrees
Space group Pmmm (No. 47)
Inequivalent atoms, fractional coordinates:
Nd  0.000  0.000  0.000 x1
Sc  0.000  0.500  0.500 x1
Co  0.000  0.000  0.345 x2
Co  0.000  0.500  0.190 x2
Co  0.500  0.000  0.500 x1
Co  0.500  0.254  0.257 x4
Co  0.500  0.500  0.000 x1

(3)
# CaLaO3

An optimized crystal structure of CaLaO3 (GGA-PBE, Alexandria).

Computed properties:
Formation energy (no corrections) = -11.181 eV per formula unit
Total moment = 0.00 Bohr magnetons per cell
Volume = 17.7 Å³ per atom

Cell lengths 4.459, 4.459, 4.459 Å; angles 90.00, 90.00, 90.00 degrees
Space group Pm-3m (No. 221)
Inequivalent atoms, fractional coordinates:
Ca  0.000  0.000  0.000 x1
La  0.500  0.500  0.500 x1
O  0.000  0.500  0.500 x3

(4)
# Li4Tm3SbS8

An optimized crystal structure of Li4Tm3SbS8 (GGA-PBE, Alexandria).

Computed properties:
Formation energy (no corrections) = -24.930 eV per formula unit
Total moment = 0.00 Bohr magnetons per cell
Volume = 20.1 Å³ per atom

Cell lengths 7.7558, 7.7558, 18.5134 Å; angles 90.00, 90.00, 120.00 degrees
Space group R-3m (No. 166, hexagonal axes)
Inequivalent atoms, fractional coordinates:
Li  0.0000  0.0000  0.0000 x3
Li  0.0000  0.5000  0.0000 x9
Tm  0.0000  0.5000  0.5000 x9
Sb  0.0000  0.0000  0.5000 x3
S  0.0000  0.0000  0.2490 x6
S  0.0034  0.5017  0.7501 x18

(5)
# Mn2CdPtPb

An optimized crystal structure of Mn2CdPtPb (GGA-PBE, Alexandria).

Computed properties:
Calculated formation energy = 88 kJ/mol of atoms
Total moment = 8.42 Bohr magnetons per cell
Volume = 24.8 Å³ per atom

Cell lengths 4.961, 4.961, 5.036 Å; angles 90.00, 90.00, 90.00 degrees
Space group P4/mmm (No. 123)
Inequivalent atoms, fractional coordinates:
Mn  0.000  0.500  0.000 x2
Cd  0.000  0.000  0.000 x1
Pt  0.000  0.000  0.500 x1
Pb  0.500  0.500  0.500 x1

(6)
# BeHg3

An optimized crystal structure of BeHg3 (GGA-PBE, Alexandria).

Computed properties:
Distance to the lowest polymorph of the same formula = 0.97 eV per formula unit
Calculated formation energy = 44 kJ/mol of atoms
Total moment = 0.00 Bohr magnetons per cell
Volume = 21.4 Å³ per atom

Cell lengths 5.532, 7.804, 3.961 Å; angles 90.00, 90.00, 90.00 degrees
Space group Cmmm (No. 65)
Inequivalent atoms, fractional coordinates:
Be  0.000  0.000  0.000 x2
Hg  0.000  0.500  0.000 x2
Hg  0.250  0.250  0.500 x4

(7)
# SrEuAgPt

An optimized crystal structure of SrEuAgPt (GGA-PBE, Alexandria).

Computed properties:
Calculated formation energy = -54 kJ/mol of atoms
Total moment = 29.02 Bohr magnetons per cell
Volume = 25.9 Å³ per atom

Cell lengths 7.460, 7.460, 7.460 Å; angles 90.00, 90.00, 90.00 degrees
Space group F-43m (No. 216)
Inequivalent atoms, fractional coordinates:
Sr  0.000  0.000  0.000 x4
Eu  0.000  0.000  0.500 x4
Ag  0.250  0.250  0.250 x4
Pt  0.250  0.250  0.750 x4

(8)
# CaTi2Mn

An optimized crystal structure of CaTi2Mn (GGA-PBE, Alexandria).

Computed properties:
Distance to the lowest polymorph of the same formula = 1.49 eV per formula unit
Calculated formation energy = 89 kJ/mol of atoms
Total moment = 0.00 Bohr magnetons per cell
Volume = 27.5 Å³ per atom

Cell lengths 6.768, 6.768, 9.592 Å; angles 90.00, 90.00, 90.00 degrees
Space group I4_1/amd (No. 141, origin choice 2)
Inequivalent atoms, fractional coordinates:
Ca  0.000  0.250  0.375 x4
Ti  0.000  0.000  0.000 x8
Mn  0.000  0.250  0.875 x4

(9)
# MgAlZn2

An optimized crystal structure of MgAlZn2 (GGA-PBE, Alexandria).

Computed properties:
Calculated formation energy = -1 kJ/mol of atoms
Total moment = 0.00 Bohr magnetons per cell
Volume = 17.1 Å³ per atom

Cell lengths 4.034, 4.034, 8.394 Å; angles 90.00, 90.00, 90.00 degrees
Space group I-4m2 (No. 119)
Inequivalent atoms, fractional coordinates:
Mg  0.000  0.000  0.000 x2
Al  0.000  0.500  0.250 x2
Zn  0.000  0.000  0.500 x2
Zn  0.000  0.500  0.750 x2

(10)
# V2Ru5Rh2

An optimized crystal structure of V2Ru5Rh2 (GGA-PBE, Alexandria).

Computed properties:
Calculated formation energy = -5 kJ/mol of atoms
Total moment = 0.00 Bohr magnetons per cell
Volume = 13.9 Å³ per atom

Cell lengths 8.614, 3.785, 8.114 Å; angles 90.00, 108.87, 90.00 degrees
Space group C2/m (No. 12)
Inequivalent atoms, fractional coordinates:
V  0.166  0.000  0.060 x4
Ru  0.000  0.500  0.500 x2
Ru  0.005  0.500  0.167 x4
Ru  0.166  0.000  0.735 x4
Rh  0.167  0.000  0.385 x4

(11)
# Nb4GaSi

An optimized crystal structure of Nb4GaSi (GGA-PBE, Alexandria).

Computed properties:
Formation energy (no corrections) = -2.709 eV per formula unit
Distance to the lowest polymorph of the same formula = 0.00 eV per formula unit
Total moment = 0.00 Bohr magnetons per cell
Volume = 16.9 Å³ per atom

Cell lengths 6.250, 6.250, 5.196 Å; angles 90.00, 90.00, 90.00 degrees
Space group P4/mcc (No. 124)
Inequivalent atoms, fractional coordinates:
Nb  0.152  0.334  0.000 x8
Ga  0.500  0.500  0.250 x2
Si  0.000  0.000  0.250 x2

(12)
# Rb3Ho3NpSe8

An optimized crystal structure of Rb3Ho3NpSe8 (GGA-PBE, Alexandria).

Computed properties:
Formation energy (no corrections) = -24.183 eV per formula unit
Total moment = 9.00 Bohr magnetons per cell
Volume = 32.9 Å³ per atom

Cell lengths 8.3717, 8.3717, 24.4153 Å; angles 90.00, 90.00, 120.00 degrees
Space group R-3m (No. 166, hexagonal axes)
Inequivalent atoms, fractional coordinates:
Rb  0.0000  0.5000  0.0000 x9
Ho  0.0000  0.5000  0.5000 x9
Np  0.0000  0.0000  0.5000 x3
Se  0.0000  0.0000  0.2311 x6
Se  0.0022  0.5011  0.2302 x18

(13)
# Sc4CuPt7

An optimized crystal structure of Sc4CuPt7 (GGA-PBE, Alexandria).

Computed properties:
Calculated formation energy = -78 kJ/mol of atoms
Total moment = 0.00 Bohr magnetons per cell
Volume = 18.4 Å³ per atom

Cell lengths 10.780, 4.851, 9.715 Å; angles 90.00, 119.44, 90.00 degrees
Space group C2/m (No. 12)
Inequivalent atoms, fractional coordinates:
Sc  0.089  0.000  0.280 x4
Sc  0.237  0.500  0.157 x4
Cu  0.000  0.500  0.500 x2
Pt  0.000  0.000  0.500 x2
Pt  0.079  0.500  0.805 x4
Pt  0.134  0.000  0.028 x4
Pt  0.208  0.500  0.407 x4

(14)
# CaZrZn2

An optimized crystal structure of CaZrZn2 (GGA-PBE, Alexandria).

Computed properties:
Calculated formation energy = -4 kJ/mol of atoms
Total moment = 0.00 Bohr magnetons per cell
Volume = 20.9 Å³ per atom

Cell lengths 11.377, 3.189, 4.994 Å; angles 90.00, 112.57, 90.00 degrees
Space group Cm (No. 8)
Inequivalent atoms, fractional coordinates:
Ca  0.000  0.000  0.000 x2
Zr  0.211  0.000  0.679 x2
Zn  0.266  0.500  0.224 x2
Zn  0.461  0.000  0.472 x2

(15)
# Ho4Ga16Co3

An optimized crystal structure of Ho4Ga16Co3 (GGA-PBE, Alexandria).

Computed properties:
Calculated formation energy = -49 kJ/mol of atoms
Total moment = 0.00 Bohr magnetons per cell
Volume = 17.4 Å³ per atom

Cell lengths 6.011, 6.011, 11.088 Å; angles 90.00, 90.00, 90.00 degrees
Space group P4/mmm (No. 123)
Inequivalent atoms, fractional coordinates:
Ho  0.000  0.500  0.195 x4
Ga  0.000  0.000  0.195 x2
Ga  0.220  0.220  0.000 x4
Ga  0.251  0.251  0.384 x8
Ga  0.500  0.500  0.218 x2
Co  0.000  0.500  0.500 x2
Co  0.500  0.500  0.000 x1

(16)
# Tb3HoHg7

An optimized crystal structure of Tb3HoHg7 (GGA-PBE, Alexandria).

Computed properties:
Calculated formation energy = -21 kJ/mol of atoms
Total moment = 0.00 Bohr magnetons per cell
Volume = 32.6 Å³ per atom

Cell lengths 3.616, 31.176, 12.717 Å; angles 90.00, 90.00, 90.00 degrees
Space group Cmcm (No. 63)
Inequivalent atoms, fractional coordinates:
Tb  0.000  0.069  0.047 x8
Tb  0.000  0.189  0.750 x4
Ho  0.000  0.071  0.750 x4
Hg  0.000  0.270  0.078 x8
Hg  0.000  0.372  0.102 x8
Hg  0.000  0.422  0.750 x4
Hg  0.000  0.489  0.117 x8

(17)
# SrOs

An optimized crystal structure of SrOs (GGA-PBE, Alexandria).

Computed properties:
Calculated formation energy = 82 kJ/mol of atoms
Total moment = 1.83 Bohr magnetons per cell
Volume = 30.0 Å³ per atom

Cell lengths 4.036, 18.468, 4.832 Å; angles 90.00, 90.00, 90.00 degrees
Space group Cmmm (No. 65)
Inequivalent atoms, fractional coordinates:
Sr  0.000  0.000  0.000 x2
Sr  0.000  0.339  0.500 x4
Os  0.000  0.219  0.000 x4
Os  0.000  0.500  0.500 x2

(18)
# Ta5Ru

An optimized crystal structure of Ta5Ru (GGA-PBE, Alexandria).

Computed properties:
Distance to the lowest polymorph of the same formula = 2.34 eV per formula unit
Calculated formation energy = 18 kJ/mol of atoms
Total moment = 0.00 Bohr magnetons per cell
Volume = 17.9 Å³ per atom

Cell lengths 4.9491, 4.9491, 5.0578 Å; angles 90.00, 90.00, 120.00 degrees
Space group P-62m (No. 189)
Inequivalent atoms, fractional coordinates:
Ta  0.0000  0.6688  0.0000 x3
Ta  0.3333  0.6667  0.5000 x2
Ru  0.0000  0.0000  0.5000 x1

(19)
# SrMg4In2Hg

An optimized crystal structure of SrMg4In2Hg (GGA-PBE, Alexandria).

Computed properties:
Calculated formation energy = -18 kJ/mol of atoms
Total moment = 0.00 Bohr magnetons per cell
Volume = 25.5 Å³ per atom

Cell lengths 5.0852, 5.0852, 27.2802 Å; angles 90.00, 90.00, 120.00 degrees
Space group R-3m (No. 166, hexagonal axes)
Inequivalent atoms, fractional coordinates:
Sr  0.0000  0.0000  0.0000 x3
Mg  0.0000  0.0000  0.1324 x6
Mg  0.0000  0.0000  0.3967 x6
In  0.0000  0.0000  0.2597 x6
Hg  0.0000  0.0000  0.5000 x3

(20)
# BeAl2Hg

An optimized crystal structure of BeAl2Hg (GGA-PBE, Alexandria).

Computed properties:
Distance to the lowest polymorph of the same formula = 0.00 eV per formula unit
Calculated formation energy = 25 kJ/mol of atoms
Total moment = 0.00 Bohr magnetons per cell
Volume = 16.7 Å³ per atom

Cell lengths 2.9927, 2.9927, 25.9041 Å; angles 90.00, 90.00, 120.00 degrees
Space group R-3m (No. 166, hexagonal axes)
Inequivalent atoms, fractional coordinates:
Be  0.0000  0.0000  0.0000 x3
Al  0.0000  0.0000  0.2615 x6
Hg  0.0000  0.0000  0.5000 x3

(21)
# CeDy2Cd3

An optimized crystal structure of CeDy2Cd3 (GGA-PBE, Alexandria).

Computed properties:
Calculated formation energy = -24 kJ/mol of atoms
Total moment = 1.85 Bohr magnetons per cell
Volume = 26.8 Å³ per atom

Cell lengths 3.721, 3.721, 11.610 Å; angles 90.00, 90.00, 90.00 degrees
Space group P4/mmm (No. 123)
Inequivalent atoms, fractional coordinates:
Ce  0.000  0.000  0.000 x1
Dy  0.000  0.000  0.339 x2
Cd  0.500  0.500  0.180 x2
Cd  0.500  0.500  0.500 x1

(22)
# Ce2HoEr6Tm3

An optimized crystal structure of Ce2HoEr6Tm3 (GGA-PBE, Alexandria).

Computed properties:
Calculated formation energy = 5 kJ/mol of atoms
Total moment = 3.49 Bohr magnetons per cell
Volume = 30.4 Å³ per atom

Cell lengths 6.069, 10.506, 11.605 Å; angles 90.00, 100.04, 90.00 degrees
Space group C2/m (No. 12)
Inequivalent atoms, fractional coordinates:
Ce  0.000  0.167  0.000 x4
Ho  0.000  0.500  0.000 x2
Er  0.248  0.168  0.750 x8
Er  0.249  0.000  0.250 x4
Tm  0.000  0.000  0.500 x2
Tm  0.000  0.334  0.500 x4

(23)
# ScNbBi3

An optimized crystal structure of ScNbBi3 (GGA-PBE, Alexandria).

Computed properties:
Distance to the lowest polymorph of the same formula = 0.00 eV per formula unit
Calculated formation energy = 51 kJ/mol of atoms
Total moment = 0.00 Bohr magnetons per cell
Volume = 33.2 Å³ per atom

Cell lengths 5.495, 5.495, 5.495 Å; angles 90.00, 90.00, 90.00 degrees
Space group Pm-3m (No. 221)
Inequivalent atoms, fractional coordinates:
Sc  0.000  0.000  0.000 x1
Nb  0.500  0.500  0.500 x1
Bi  0.000  0.500  0.500 x3